The following is a PBE+U calculation of crystalline Cs2UCoO6 at its relaxed geometry, from Alexandria.

The space group is I4mm (No. 107) and the conventional cell measures 5.6720, 5.6720 and 11.0148 Å, with angles of 90.00, 90.00 and 90.00 degrees. The distinct sites, in fractional coordinates, are Cs at (0.0000, 0.5000, 0.0000), U at (0.0000, 0.0000, 0.2403), Co at (0.0000, 0.0000, 0.7777), O at (0.0000, 0.0000, 0.4184), O at (0.0000, 0.0000, 0.9348) and O at (0.2461, 0.2461, 0.7317).

The total energy is -0.244 hartree per atom. The volume is 354 Å³ per cell. Its density of states at the Fermi level is 6.6 states/eV per cell. As for the magnetic moment: 2.965 μB/f.u.